1.
## Nb3V5B8Ir4 (PBE)

Data for a geometry-optimized Nb3V5B8Ir4 structure.

Calculated values
- SG: No. 6
- N(E_F): 11.98 states/eV per cell

Cell: 3.235 7.304 9.339 Å, 89.85 90.00 90.00°
Fractional positions:
1 Nb 0.500 0.322 0.129
2 Nb 0.500 0.679 0.871
3 Nb 0.000 0.822 0.373
4 V 0.000 0.184 0.629
5 V 0.500 0.074 0.860
6 V 0.500 0.931 0.134
7 V 0.000 0.568 0.635
8 V 0.000 0.427 0.366
9 B 0.500 0.381 0.540
10 B 0.500 0.608 0.464
11 B 0.000 0.891 0.960
12 B 0.000 0.112 0.037
13 B 0.500 0.371 0.730
14 B 0.500 0.617 0.270
15 B 0.000 0.887 0.765
16 B 0.000 0.119 0.234
17 Ir 0.500 0.873 0.610
18 Ir 0.500 0.133 0.395
19 Ir 0.000 0.366 0.888
20 Ir 0.000 0.634 0.110

=====

2.
## NbZn2B2Ir5 (PBE)

Data for a geometry-optimized NbZn2B2Ir5 structure.

Calculated values
- SG: No. 127
- N(E_F): 3.41 states/eV per cell

Cell: 2.922 9.691 9.691 Å, 90.00 90.00 90.00°
Fractional positions:
1 Nb 0.000 0.000 0.000
2 Nb 0.000 0.500 0.500
3 Zn 0.000 0.679 0.179
4 Zn 0.000 0.321 0.821
5 Zn 0.000 0.179 0.321
6 Zn 0.000 0.821 0.679
7 B 0.000 0.121 0.621
8 B 0.000 0.879 0.379
9 B 0.000 0.621 0.879
10 B 0.000 0.379 0.121
11 Ir 0.500 0.220 0.075
12 Ir 0.500 0.780 0.925
13 Ir 0.500 0.075 0.780
14 Ir 0.500 0.720 0.425
15 Ir 0.500 0.925 0.220
16 Ir 0.500 0.280 0.575
17 Ir 0.500 0.575 0.720
18 Ir 0.500 0.425 0.280
19 Ir 0.500 0.500 0.000
20 Ir 0.500 0.000 0.500

=====

3.
## Nd2B10Ir (PBE)

Data for a geometry-optimized Nd2B10Ir structure.

Calculated values
- SG: No. 55
- N(E_F): 3.26 states/eV per cell

Cell: 4.224 5.754 11.464 Å, 90.00 90.00 90.00°
Fractional positions:
1 Nd 0.500 0.294 0.866
2 Nd 0.500 0.706 0.134
3 Nd 0.500 0.794 0.634
4 Nd 0.500 0.206 0.366
5 B 0.000 0.119 0.543
6 B 0.000 0.881 0.457
7 B 0.000 0.619 0.957
8 B 0.000 0.381 0.043
9 B 0.000 0.139 0.697
10 B 0.000 0.861 0.303
11 B 0.300 0.218 0.118
12 B 0.300 0.782 0.882
13 B 0.700 0.718 0.382
14 B 0.700 0.282 0.618
15 B 0.700 0.782 0.882
16 B 0.700 0.218 0.118
17 B 0.300 0.282 0.618
18 B 0.300 0.718 0.382
19 B 0.000 0.055 0.193
20 B 0.000 0.945 0.807
21 B 0.000 0.555 0.307
22 B 0.000 0.445 0.693
23 B 0.000 0.361 0.197
24 B 0.000 0.639 0.803
25 Ir 0.000 0.500 0.500
26 Ir 0.000 0.000 0.000

=====

4.
## Nd2B3Ir2 (PBE)

Data for a geometry-optimized Nd2B3Ir2 structure.

Calculated values
- SG: No. 12
- N(E_F): 3.65 states/eV per cell

Cell: 3.827 5.353 7.288 Å, 122.85 90.00 110.95°
Fractional positions:
1 Nd 0.929 0.859 0.205
2 Nd 0.071 0.141 0.795
3 B 0.500 0.000 0.000
4 B 0.665 0.329 0.262
5 B 0.335 0.671 0.738
6 Ir 0.713 0.426 0.605
7 Ir 0.287 0.574 0.395

=====

5.
## NdB3Ir3 (PBE)

Data for a geometry-optimized NdB3Ir3 structure.

Calculated values
- SG: No. 223
- N(E_F): 3.34 states/eV per cell

Cell: 5.915 5.915 5.915 Å, 90.00 90.00 90.00°
Fractional positions:
1 B 0.250 0.000 0.500
2 B 0.000 0.500 0.250
3 B 0.500 0.750 0.000
4 B 0.750 0.000 0.500
5 B 0.000 0.500 0.750
6 B 0.500 0.250 0.000
7 Ir 0.000 0.250 0.500
8 Ir 0.000 0.750 0.500
9 Ir 0.500 0.000 0.750
10 Ir 0.750 0.500 0.000
11 Ir 0.500 0.000 0.250
12 Ir 0.250 0.500 0.000
13 Nd 0.500 0.500 0.500
14 Nd 0.000 0.000 0.000

=====

6.
## NdB3Ir3 (PBE)

Data for a geometry-optimized NdB3Ir3 structure.

Calculated values
- SG: No. 148
- N(E_F): 7.49 states/eV per cell

Cell: 6.189 6.189 7.634 Å, 66.09 66.09 60.00°
Fractional positions:
1 Nd 0.333 0.333 0.002
2 Nd 0.667 0.667 0.998
3 B 0.239 0.546 0.311
4 B 0.904 0.239 0.311
5 B 0.546 0.904 0.311
6 B 0.454 0.096 0.689
7 B 0.096 0.761 0.689
8 B 0.761 0.454 0.689
9 Ir 0.434 0.795 0.647
10 Ir 0.795 0.124 0.647
11 Ir 0.124 0.434 0.647
12 Ir 0.876 0.566 0.353
13 Ir 0.205 0.876 0.353
14 Ir 0.566 0.205 0.353

=====

7.
## NdBIr2 (PBE)

Data for a geometry-optimized NdBIr2 structure.

Calculated values
- SG: No. 166
- N(E_F): 3.64 states/eV per cell

Cell: 3.865 3.865 5.886 Å, 70.83 70.83 60.00°
Fractional positions:
1 B 0.500 0.500 0.500
2 Ir 0.793 0.793 0.620
3 Ir 0.207 0.207 0.380
4 Nd 0.000 0.000 0.000

=====

8.
## NdB4Ir (PBE)

Data for a geometry-optimized NdB4Ir structure.

Calculated values
- SG: No. 55
- N(E_F): 4.62 states/eV per cell

Cell: 3.650 6.077 11.785 Å, 90.00 90.00 90.00°
Fractional positions:
1 Nd 0.000 0.630 0.351
2 Nd 0.000 0.370 0.649
3 Nd 0.000 0.130 0.149
4 Nd 0.000 0.870 0.851
5 B 0.500 0.786 0.186
6 B 0.500 0.214 0.814
7 B 0.500 0.286 0.314
8 B 0.500 0.714 0.686
9 B 0.500 0.860 0.032
10 B 0.500 0.140 0.968
11 B 0.500 0.360 0.468
12 B 0.500 0.640 0.532
13 B 0.500 0.890 0.455
14 B 0.500 0.110 0.545
15 B 0.500 0.390 0.045
16 B 0.500 0.610 0.955
17 B 0.500 0.975 0.310
18 B 0.500 0.025 0.690
19 B 0.500 0.475 0.190
20 B 0.500 0.525 0.810
21 Ir 0.000 0.642 0.096
22 Ir 0.000 0.358 0.904
23 Ir 0.000 0.142 0.404
24 Ir 0.000 0.858 0.596

=====

no.,density (g cm⁻³),DFT total energy (eV/atom),volume (Å³/atom)
1,10.45,-8.92,11.03
2,14.60,-7.23,13.72
3,7.02,-7.11,10.72
4,10.32,-7.16,16.21
5,12.09,-7.75,14.78
6,11.18,-7.59,15.98
7,12.71,-7.47,17.62
8,9.65,-7.22,10.89